ZrSbPd2, relaxed, DFT PBE; space-group type = No. 123; uncorrected formation energy = -0.63 eV/atom; E = -25.6 eV for the cell shown
1.0
3.605 0.000 0.000
0.000 3.605 0.000
0.000 0.000 5.916
Sb Zr Pd
1 1 2
direct
0.500 0.500 0.500
0.500 0.500 0.000
0.000 0.000 0.766
0.000 0.000 0.234